1.
AlAgPb: optimized geometry, PBE.

Cell lengths 7.112, 4.300, 8.886 Å; angles 90.00, 90.00, 90.00 degrees
Fractional positions:
Al 0.903 0.750 0.580
Al 0.097 0.250 0.420
Pb 0.648 0.250 0.418
Ag 0.930 0.750 0.274
Ag 0.430 0.750 0.226
Pb 0.148 0.250 0.082
Al 0.597 0.250 0.080
Ag 0.070 0.250 0.726
Ag 0.570 0.250 0.774
Pb 0.352 0.750 0.582
Pb 0.852 0.750 0.918
Al 0.403 0.750 0.920

DFT total energy   -3.26 eV per atom
Theoretical density   8361 kg/m3
SG   Pnma, No. 62

2.
Cs2LiIrF6: optimized geometry, PBE.

Cell lengths 5.918, 5.918, 5.918 Å; angles 60.00, 60.00, 60.00 degrees
Fractional positions:
Cs 0.750 0.750 0.750
Cs 0.250 0.250 0.250
F 0.244 0.244 0.756
Li 0.500 0.500 0.500
F 0.244 0.756 0.244
F 0.756 0.244 0.244
Ir 0.000 0.000 0.000
F 0.756 0.244 0.756
F 0.756 0.756 0.244
F 0.244 0.756 0.756

Theoretical density   6559 kg/m3
Polymorph energy (0 for the lowest one)   0 meV/atom
SG   Fm-3m, No. 225

3.
CoW: optimized geometry, PBE.

Cell lengths 5.140, 5.140, 7.564 Å; angles 90.00, 90.00, 120.00 degrees
Fractional positions:
W 0.171 0.829 0.750
Co 0.333 0.667 0.079
Co 0.000 0.000 0.000
W 0.829 0.658 0.250
W 0.171 0.342 0.750
Co 0.000 0.000 0.500
W 0.829 0.171 0.250
Co 0.667 0.333 0.921
W 0.342 0.171 0.250
Co 0.333 0.667 0.421
Co 0.667 0.333 0.579
W 0.658 0.829 0.750

Formation energy from the elements   601.2 meV per atom
Theoretical density   13976 kg/m3
SG   P6_3/mmc, No. 194

4.
ErFeAu: optimized geometry, PBE.

Cell lengths 4.450, 4.450, 4.450 Å; angles 60.00, 60.00, 60.00 degrees
Fractional positions:
Er 0.750 0.750 0.750
Fe 0.000 0.000 0.000
Au 0.250 0.250 0.250

Formation energy from the elements   33.7 meV per atom
Theoretical density   11195 kg/m3
SG   F-43m, No. 216